[1]
Na3TbPm2Se6 | Alexandria via LeMat-Bulk | PBE | optimized geometry; density of states at the Fermi level = 0.0000 states/eV per atom; raw total energy = -0.1818 Ha/atom; volume = 325 Å³/cell
1.0
3.658 -6.336 0.000
3.658 6.336 0.000
-2.440 0.000 7.014
Na Tb Pm Se
3 1 2 6
direct
0.000 0.000 0.000
0.333 0.667 0.000
0.667 0.333 0.000
0.500 0.500 0.500
0.167 0.833 0.500
0.833 0.167 0.500
0.094 0.422 0.267
0.250 0.250 0.733
0.422 0.094 0.267
0.578 0.906 0.733
0.750 0.750 0.267
0.906 0.578 0.733

[2]
Na3PmTe2Se6 | Alexandria via LeMat-Bulk | PBE | optimized geometry; density of states at the Fermi level = 0.2322 states/eV per atom; raw total energy = -0.1389 Ha/atom; volume = 334 Å³/cell
1.0
3.951 -6.160 0.000
3.951 6.160 0.000
-2.812 0.000 6.866
Na Pm Te Se
3 1 2 6
direct
0.000 0.000 0.000
0.331 0.669 0.000
0.669 0.331 0.000
0.500 0.500 0.500
0.172 0.828 0.500
0.828 0.172 0.500
0.104 0.455 0.259
0.240 0.240 0.721
0.455 0.104 0.259
0.545 0.896 0.741
0.760 0.760 0.279
0.896 0.545 0.741